1.
16
Lattice="4.161 0.000 0.000 -2.081 5.187 0.000 0.000 0.000 13.960" Properties=species:S:1:pos:R:3 comment="PBE-GGA Tm3Ga3Co2, optimized geometry" sg="No. 63" e_form_ev_per_fu=-4.24 magmom_total_mub_per_atom=0.00 pbc="T T T"
Ga 0.000 3.459 3.490
Tm 0.000 0.886 8.489
Tm 2.081 1.402 3.490
Tm 0.000 0.886 12.451
Ga 2.081 1.270 0.567
Tm 2.081 4.300 1.509
Ga 0.000 3.916 13.393
Co 0.000 2.222 1.262
Co 2.081 2.965 8.241
Tm 2.081 4.300 5.471
Co 2.081 2.965 12.698
Ga 0.000 3.916 7.547
Ga 2.081 1.270 6.413
Ga 2.081 1.728 10.470
Co 0.000 2.222 5.718
Tm 0.000 3.784 10.470



2.
18
Lattice="4.226 0.000 0.000 0.000 7.977 0.000 0.000 0.000 7.977" Properties=species:S:1:pos:R:3 comment="PBE-GGA TmGa4Co4, optimized geometry" sg="No. 87" e_form_ev_per_fu=-2.11 magmom_total_mub_per_atom=0.14 pbc="T T T"
Tm 2.113 3.988 3.988
Ga 0.000 5.155 6.061
Ga 2.113 1.166 2.072
Co 2.113 4.712 7.081
Co 0.000 3.093 7.253
Co 0.000 4.884 0.723
Tm 0.000 0.000 0.000
Ga 4.226 1.916 5.155
Ga 2.113 2.072 6.810
Co 2.113 0.895 4.712
Ga 2.113 5.904 1.166
Ga 4.226 6.061 2.822
Co 4.226 7.253 4.884
Co 2.113 7.081 3.265
Co 2.113 3.265 0.895
Ga 2.113 6.810 5.904
Ga 0.000 2.822 1.916
Co 4.226 0.723 3.093



3.
8
Lattice="3.915 0.000 0.000 0.000 4.057 0.000 0.000 0.000 10.133" Properties=species:S:1:pos:R:3 comment="PBE-GGA Tm4GaCo3, optimized geometry" sg="No. 25" e_form_ev_per_fu=-2.61 magmom_total_mub_per_atom=0.12 pbc="T T T"
Ga 1.957 2.029 0.661
Co 0.000 2.029 5.633
Tm 1.957 2.029 3.707
Co 1.957 0.000 9.423
Tm 0.000 2.029 8.594
Tm 1.957 0.000 6.521
Tm 0.000 0.000 1.444
Co 0.000 0.000 4.547



4.
8
Lattice="3.937 0.000 0.000 0.000 5.926 -0.778 0.000 -0.401 5.964" Properties=species:S:1:pos:R:3 comment="PBE-GGA TmGa6Co, optimized geometry" sg="No. 38" e_form_ev_per_fu=-1.90 magmom_total_mub_per_atom=0.00 pbc="T T T"
Co 1.968 4.142 1.124
Ga 0.000 4.444 2.852
Ga 0.000 2.397 0.931
Ga 0.000 1.785 3.634
Ga 1.968 3.231 4.667
Ga 0.000 5.142 0.058
Ga 1.968 0.663 2.256
Tm 1.968 0.296 5.221



> What is the formula in the third record?

Tm4GaCo3